LaCrAs2O8: optimized geometry, PBE with a Hubbard U.

Unit cell a=5.418 b=5.418 c=6.866 alpha=90.00 beta=90.00 gamma=120.00
Sites, in units of the cell vectors:
La 0.000 0.000 0.000
Cr 0.000 0.000 0.500
As 0.333 0.667 0.235
As 0.667 0.333 0.765
O 0.158 0.316 0.305
O 0.158 0.842 0.305
O 0.316 0.158 0.695
O 0.333 0.667 0.988
O 0.667 0.333 0.012
O 0.684 0.842 0.305
O 0.842 0.158 0.695
O 0.842 0.684 0.695

Values from the calculation:
DFT total energy = -6.975 eV/atom